1.
This record from Alexandria via LeMat-Bulk describes a geometry-optimized TaBeAs structure. The functional is PBE.

Lattice parameters (Å, degrees): 4.3022 4.3022 2.7189 90.00 90.00 120.00
Last column: nearest neighbours and their distance in Å.
Positions (direct):
Ta1 0.3333 0.6667 0.6674  2 Ta 2.72, 6 Be 2.83, 6 As 2.83
As1 0.0000 0.0000 0.1670  3 Be 2.48, 2 As 2.72
Be1 0.6667 0.3333 0.1656  3 As 2.48, 2 Be 2.72

## Properties
The value obtained for the density of states at the Fermi level is 0.789 states/eV per atom. As for the total magnetization: 0.00 μB per formula unit. As for the density: 10092 kg/m3. The value obtained for the total energy is -6.458 eV per atom. Its space group is P3m1. The value obtained for the formation energy is 0.2844 eV/atom. The value obtained for the energy above the most stable polymorph in this dataset is 310 meV/atom.


2.
This record from Alexandria via LeMat-Bulk describes a geometry-optimized Cs2S10I structure. The functional is PBE.

Lattice parameters (Å, degrees): 5.1414 9.3752 17.9061 90.00 90.00 90.00
Last column: nearest neighbours and their distance in Å.
Positions (direct):
S1 0.0000 0.9942 0.6775  1 S 1.96
S2 0.6856 0.7306 0.8767  1 S 1.91
S3 0.0000 0.3959 0.0003  1 S 1.95
S4 0.3144 0.2694 0.1233  1 S 1.91
S5 0.0000 0.9624 0.7858  1 S 1.96
S6 0.3144 0.2306 0.6233  1 S 1.91
S7 0.0000 0.0058 0.3225  1 S 1.96
S8 0.0000 0.5376 0.2858  1 S 1.96
S9 0.6856 0.2694 0.1233  1 S 1.91
S10 0.3144 0.7694 0.3767  1 S 1.91
S11 0.0000 0.6041 0.9997  1 S 1.95
S12 0.0000 0.1041 0.5003  1 S 1.95
S13 0.6856 0.2306 0.6233  1 S 1.91
S14 0.6856 0.7694 0.3767  1 S 1.91
S15 0.0000 0.4624 0.7142  1 S 1.96
S16 0.0000 0.4942 0.8225  1 S 1.96
S17 0.0000 0.8959 0.4997  1 S 1.95
S18 0.0000 0.5058 0.1775  1 S 1.96
S19 0.0000 0.0376 0.2142  1 S 1.96
S20 0.3144 0.7306 0.8767  1 S 1.91
Cs1 0.5000 0.2011 0.8745  6 S 3.76-3.88, 2 I 3.90
Cs2 0.5000 0.7989 0.1255  6 S 3.76-3.88, 2 I 3.90
Cs3 0.5000 0.2989 0.3745  6 S 3.76-3.88, 2 I 3.90
Cs4 0.5000 0.7011 0.6255  6 S 3.76-3.88, 2 I 3.90
I1 0.0000 0.0000 0.0000  8 S 3.71-3.85, 4 Cs 3.90
I2 0.0000 0.5000 0.5000  8 S 3.71-3.85, 4 Cs 3.90

## Properties
The value obtained for the density of states at the Fermi level is 0.769 states/eV per atom. As for the total magnetization: 0.56 μB per formula unit. As for the density: 2745 kg/m3. The value obtained for the total energy is -3.566 eV per atom. For the uncorrected formation energy, the calculation gives -1.831 eV per formula unit. Its space group is Pbam.


3.
This record from Alexandria via LeMat-Bulk describes a geometry-optimized SbSe structure. The functional is PBE.

Lattice parameters (Å, degrees): 4.2514 5.7843 5.9163 77.42 69.15 70.57
Last column: nearest neighbours and their distance in Å.
Positions (direct):
Se1 0.9339 0.5459 0.9904  2 Sb 2.70-2.71
Se2 0.4685 0.0543 0.4476  2 Sb 2.62-2.79
Sb1 0.9535 0.4592 0.4525  2 Se 2.62-2.70
Sb2 0.2778 0.8502 0.1465  2 Se 2.71-2.79, 1 Sb 2.97

## Properties
As for the total magnetization: 0.00 μB per formula unit. As for the density: 5232 kg/m3. The value obtained for the total energy is -3.925 eV per atom. For the uncorrected formation energy, the calculation gives -0.244 eV per formula unit. Its space group is P1.


4.
This record from Alexandria via LeMat-Bulk describes a geometry-optimized Tm2IrPt structure. The functional is PBE.

Lattice parameters (Å, degrees): 3.9978 3.9978 6.8966 73.15 73.15 60.00
Last column: nearest neighbours and their distance in Å.
Positions (direct):
Ir1 0.5000 0.5000 0.5000  6 Tm 2.78
Tm1 0.7536 0.7536 0.7393  3 Ir 2.78, 3 Pt 2.86
Tm2 0.2464 0.2464 0.2607  3 Ir 2.78, 3 Pt 2.86
Pt1 0.0000 0.0000 0.0000  6 Tm 2.86

## Properties
The value obtained for the density of states at the Fermi level is 0.544 states/eV per atom. As for the total magnetization: 0.00 μB per formula unit. As for the density: 13387 kg/m3. The value obtained for the total energy is -6.797 eV per atom. Its space group is R-3m. The value obtained for the formation energy is -0.8354 eV/atom.


5.
This record from Alexandria via LeMat-Bulk describes a geometry-optimized LiThP2 structure. The functional is PBE.

Lattice parameters (Å, degrees): 3.9181 3.9181 10.0835 90.00 90.00 90.00
Last column: nearest neighbours and their distance in Å.
Positions (direct):
P1 0.5000 0.5000 0.5000  4 P 2.77, 4 Th 2.93
P2 0.0000 0.0000 0.5000  4 P 2.77, 4 Th 2.93
P3 0.5000 0.0000 0.1635  4 Li 2.56
P4 0.0000 0.5000 0.8365  4 Li 2.56
Th1 0.0000 0.5000 0.2837  8 P 2.93-3.02
Th2 0.5000 0.0000 0.7163  8 P 2.93-3.02
Li1 0.5000 0.5000 0.0000  4 P 2.56, 4 Li 2.77
Li2 0.0000 0.0000 0.0000  4 P 2.56, 4 Li 2.77

## Properties
The value obtained for the density of states at the Fermi level is 0.235 states/eV per atom. As for the total magnetization: 0.00 μB per formula unit. As for the density: 6456 kg/m3. The value obtained for the total energy is -6.063 eV per atom. Its space group is P4/nmm. The value obtained for the formation energy is -1.0248 eV/atom. The value obtained for the energy above the most stable polymorph in this dataset is 0 meV/atom.


6.
This record from Alexandria via LeMat-Bulk describes a geometry-optimized ZrCdSe2 structure. The functional is PBE.

Lattice parameters (Å, degrees): 6.4211 6.4211 3.9865 89.98 89.98 34.05
Last column: nearest neighbours and their distance in Å.
Positions (direct):
Cd1 0.2498 0.2498 0.1253  5 Se 2.74-2.76
Zr1 0.4442 0.4442 0.6247  6 Se 2.76-2.92
Se1 0.7795 0.7795 0.6252  2 Zr 2.76, 4 Cd 2.76
Se2 0.0265 0.0265 0.1248  1 Cd 2.74, 4 Zr 2.92

## Properties
The value obtained for the density of states at the Fermi level is 0.456 states/eV per atom. As for the total magnetization: 0.00 μB per formula unit. As for the density: 6524 kg/m3. The value obtained for the total energy is -4.898 eV per atom. For the uncorrected formation energy, the calculation gives -3.159 eV per formula unit. Its space group is Amm2.


7.
This record from Alexandria via LeMat-Bulk describes a geometry-optimized Nd6PPd2Br3 structure. The functional is PBE.

Lattice parameters (Å, degrees): 7.3225 7.3225 7.7652 99.07 99.07 119.83
Last column: nearest neighbours and their distance in Å.
Positions (direct):
Nd1 0.5968 0.9288 0.7900  1 P 2.89, 2 Pd 2.89
Nd2 0.9288 0.5968 0.7900  1 P 2.89, 2 Pd 2.89
Nd3 0.2639 0.2639 0.7924  1 P 2.88, 2 Pd 2.89, 2 Br 3.21
Nd4 0.7361 0.7361 0.2076  1 P 2.88, 2 Pd 2.89, 2 Br 3.21
Nd5 0.4032 0.0712 0.2100  1 P 2.89, 2 Pd 2.89
Nd6 0.0712 0.4032 0.2100  1 P 2.89, 2 Pd 2.89
Br1 0.8391 0.1609 0.5000  6 Nd 3.21-3.30
Br2 0.1609 0.8391 0.5000  6 Nd 3.21-3.30
Br3 0.5000 0.5000 0.5000  6 Nd 3.24-3.26
P1 0.0000 0.0000 0.0000  6 Nd 2.88-2.89
Pd1 0.6676 0.3324 0.0000  6 Nd 2.89
Pd2 0.3324 0.6676 0.0000  6 Nd 2.89

## Properties
The value obtained for the density of states at the Fermi level is 0.777 states/eV per atom. As for the total magnetization: 0.00 μB per formula unit. As for the density: 6533 kg/m3. The value obtained for the total energy is -5.228 eV per atom. For the uncorrected formation energy, the calculation gives -13.320 eV per formula unit. Its space group is C2/m.